Here is a relaxed AcScTlBi crystal from Alexandria. Energies are from PBE.

Cell and atoms, written as POSCAR:
```
AcScTlBi
1.0
0.000 3.945 3.945
3.945 0.000 3.945
3.945 3.945 0.000
Ac Sc Tl Bi
1 1 1 1
Cartesian
0.000 0.000 0.000
3.945 3.945 3.945
5.917 5.917 5.917
1.972 1.972 1.972
```

Output
- E: -4.501 eV/atom
- Calculated density: 9.27 Mg/m³
- Formation enthalpy at 0 K: -1.32 eV/f.u.